Density functional theory data (GGA+U) for a relaxed CoTcNO2 crystal.

Lattice parameters (Å, degrees): 3.644 3.644 3.723 90.00 90.00 90.00
Sites, in units of the cell vectors:
Co: 0.000 0.000 0.000
Tc: 0.500 0.500 0.500
N: 0.000 0.000 0.500
O: 0.000 0.500 0.000
O: 0.500 0.000 0.000

Summary:
* calculated total energy: -6.261 eV per atom
* size of the total moment: 2.68 μB/f.u.